[1]
A plane-wave DFT calculation with PBE-GGA was carried out for an optimized crystal structure of Na5Sn2Se6.

a b c (Å): 7.423 7.423 16.282
angles (deg): 91.44 91.44 65.85
Element x y z (fractional)
Na  0.717  0.264  0.952
Na  0.736  0.283  0.548
Na  0.283  0.736  0.048
Na  0.264  0.717  0.452
Na  0.794  0.880  0.723
Na  0.120  0.206  0.777
Na  0.206  0.120  0.277
Na  0.880  0.794  0.223
Na  0.326  0.674  0.750
Na  0.674  0.326  0.250
Sn  0.355  0.083  0.588
Sn  0.917  0.645  0.912
Sn  0.645  0.917  0.412
Sn  0.083  0.355  0.088
Se  0.085  0.964  0.622
Se  0.036  0.915  0.878
Se  0.915  0.036  0.378
Se  0.964  0.085  0.122
Se  0.466  0.258  0.704
Se  0.742  0.534  0.796
Se  0.534  0.742  0.296
Se  0.258  0.466  0.204
Se  0.664  0.733  0.555
Se  0.267  0.336  0.945
Se  0.336  0.267  0.445
Se  0.733  0.664  0.055

Summary:
M_tot   0.00 Bohr magnetons per cell
Space-group type   C2/c, No. 15
Formation energy from raw total energies   -0.7512 eV/atom


[2]
A plane-wave DFT calculation with PBE-GGA was carried out for an optimized crystal structure of PmSc4Ge4.

a b c (Å): 5.432 8.940 8.940
angles (deg): 90.00 90.00 90.00
Element x y z (fractional)
Pm  0.000  0.000  0.000
Pm  0.500  0.500  0.500
Sc  0.387  0.358  0.885
Sc  0.887  0.615  0.858
Sc  0.387  0.642  0.115
Sc  0.113  0.142  0.615
Sc  0.613  0.885  0.642
Sc  0.113  0.858  0.385
Sc  0.887  0.385  0.142
Sc  0.613  0.115  0.358
Ge  0.599  0.807  0.342
Ge  0.599  0.193  0.658
Ge  0.099  0.842  0.693
Ge  0.901  0.307  0.842
Ge  0.901  0.693  0.158
Ge  0.401  0.342  0.193
Ge  0.401  0.658  0.807
Ge  0.099  0.158  0.307

Summary:
Energy of formation from the pure elements   -0.598 eV per atom
M_tot   0.00 Bohr magnetons per cell
Space-group type   P4_2/n, No. 86


[3]
A plane-wave DFT calculation with PBE-GGA was carried out for an optimized crystal structure of Tm4Zn2Hg.

a b c (Å): 4.999 4.999 8.555
angles (deg): 73.01 73.01 60.00
Element x y z (fractional)
Tm  0.870  0.870  0.390
Tm  0.130  0.130  0.610
Tm  0.617  0.617  0.149
Tm  0.383  0.383  0.851
Zn  0.749  0.749  0.752
Zn  0.251  0.251  0.248
Hg  0.000  0.000  0.000

Summary:
Energy of formation from the pure elements   -0.219 eV per atom
M_tot   0.00 Bohr magnetons per cell
Energy above the lowest structure with this stoichiometry   0.0000 eV per atom
Space-group type   R-3m, No. 166


[4]
A plane-wave DFT calculation with PBE-GGA was carried out for an optimized crystal structure of Ce5Sb2IrO.

a b c (Å): 4.606 4.606 11.326
angles (deg): 90.00 90.00 90.00
Site moments in Bohr magnetons follow the coordinates.
Element x y z (fractional)
Ce  0.000  0.500  0.500  0.68
Ce  0.500  0.000  0.500  0.68
Ce  0.000  0.000  0.772  0.87
Ce  0.000  0.000  0.228  0.87
Ce  0.500  0.500  0.000  0.92
Sb  0.500  0.500  0.290  -0.03
Sb  0.500  0.500  0.710  -0.03
Ir  0.000  0.000  0.000  -0.07
O  0.000  0.000  0.500  -0.03

Summary:
M_tot   4.98 Bohr magnetons per cell
Space-group type   P4/mmm, No. 123
Formation energy from raw total energies   -1.1770 eV/atom


Copy entry 4 word for word.
A plane-wave DFT calculation with PBE-GGA was carried out for an optimized crystal structure of Ce5Sb2IrO.

a b c (Å): 4.606 4.606 11.326
angles (deg): 90.00 90.00 90.00
Site moments in Bohr magnetons follow the coordinates.
Element x y z (fractional)
Ce  0.000  0.500  0.500  0.68
Ce  0.500  0.000  0.500  0.68
Ce  0.000  0.000  0.772  0.87
Ce  0.000  0.000  0.228  0.87
Ce  0.500  0.500  0.000  0.92
Sb  0.500  0.500  0.290  -0.03
Sb  0.500  0.500  0.710  -0.03
Ir  0.000  0.000  0.000  -0.07
O  0.000  0.000  0.500  -0.03

Summary:
M_tot   4.98 Bohr magnetons per cell
Space-group type   P4/mmm, No. 123
Formation energy from raw total energies   -1.1770 eV/atom